(1)
# Hf3ZrAl8, optimized geometry, DFT PBE
# Formation energy from the elements = -464 meV/atom
# Excess energy over the best structure of this formula in the dataset = 0.004 eV/atom
# D(E_F) = 0.427 states/eV/atom
data_Hf3ZrAl8
_cell_length_a 5.2919
_cell_length_b 5.2919
_cell_length_c 25.8936
_cell_angle_alpha 90.00
_cell_angle_beta 90.00
_cell_angle_gamma 120.00
_space_group_name_H-M_alt 'R 3 m'
_space_group_IT_number 160
_space_group_name_Hall 'R 3 -2"'
loop_
_atom_site_label
_atom_site_fract_x
_atom_site_fract_y
_atom_site_fract_z
Hf1 0.0000 0.0000 0.0000
Hf2 0.0000 0.0000 0.1246
Hf3 0.0000 0.0000 0.6253
Zr1 0.0000 0.0000 0.4998
Al1 0.0000 0.0000 0.3125
Al2 0.0000 0.0000 0.8124
Al3 0.9998 0.4999 0.0623
Al4 0.0000 0.5000 0.5626

---

(2)
# Hf3ZrAl2, optimized geometry, DFT PBE
# Formation energy from the elements = -211 meV/atom
# D(E_F) = 0.848 states/eV/atom
data_Hf3ZrAl2
_cell_length_a 8.2822
_cell_length_b 3.1215
_cell_length_c 18.9878
_cell_angle_alpha 90.00
_cell_angle_beta 90.00
_cell_angle_gamma 90.00
_space_group_name_H-M_alt 'P n m a'
_space_group_IT_number 62
_space_group_name_Hall '-P 2ac 2n'
loop_
_atom_site_label
_atom_site_fract_x
_atom_site_fract_y
_atom_site_fract_z
Hf1 0.0342 0.2500 0.0656
Hf2 0.1161 0.2500 0.5572
Hf3 0.2499 0.2500 0.1854
Zr1 0.1066 0.2500 0.3297
Al1 0.0700 0.2500 0.8003
Al2 0.2442 0.7500 0.4402

---

Number 1: DFT total energy -6.1602 eV per atom. Number 2: DFT total energy -7.8602 eV per atom.